Compound: TaAlCoRu
Source: the Alexandria database
Functional: PBE
Structure: optimized geometry

```
TaAlCoRu
1.0
0.0000 3.0453 3.0453
3.0453 0.0000 3.0453
3.0453 3.0453 0.0000
Ta Al Co Ru
1 1 1 1
Direct
0.0000 0.0000 0.0000 Ta
0.5000 0.5000 0.5000 Al
0.2500 0.2500 0.2500 Co
0.7500 0.7500 0.7500 Ru
```

## Properties
Space-group type ... F-43m, No. 216
Total magnetic moment ... 0.98 μB/cell
Total energy ... -34.1 eV per cell
DFT formation energy ... -541 meV/atom